A) Compound: UH2O4
Source: Alexandria via LeMat-Bulk
Functional: PBE-GGA
Structure: relaxed

```
UH2O4
1.0
5.889 0.000 0.000
0.000 6.156 0.000
0.000 0.000 9.900
U H O
4 8 16
Direct
0.000 0.000 0.000 U
0.500 0.500 0.000 U
0.000 0.500 0.500 U
0.500 0.000 0.500 U
0.157 0.340 0.172 H
0.657 0.160 0.828 H
0.843 0.840 0.328 H
0.343 0.660 0.672 H
0.843 0.660 0.828 H
0.343 0.840 0.172 H
0.157 0.160 0.672 H
0.657 0.340 0.328 H
0.129 0.463 0.333 O
0.629 0.037 0.667 O
0.871 0.963 0.167 O
0.371 0.537 0.833 O
0.871 0.537 0.667 O
0.371 0.963 0.333 O
0.129 0.037 0.833 O
0.629 0.463 0.167 O
0.187 0.301 0.076 O
0.687 0.199 0.924 O
0.813 0.801 0.424 O
0.313 0.699 0.576 O
0.813 0.699 0.924 O
0.313 0.801 0.076 O
0.187 0.199 0.576 O
0.687 0.301 0.424 O
```

Results
Space-group type: Pbca
Crystal system: orthorhombic

B) Compound: UH2O4
Source: Alexandria via LeMat-Bulk
Functional: PBE-GGA
Structure: relaxed

```
UH2O4
1.0
0.000 2.990 5.605
2.892 0.000 5.605
2.892 2.990 0.000
U H O
1 2 4
Direct
0.009 0.991 0.991 U
0.380 0.092 0.620 H
0.908 0.620 0.092 H
0.189 0.185 0.811 O
0.815 0.811 0.185 O
0.009 0.991 0.496 O
0.504 0.496 0.991 O
```

Results
Space-group type: Fmm2
Crystal system: orthorhombic

C) Compound: UH2O4
Source: Alexandria via LeMat-Bulk
Functional: PBE-GGA
Structure: relaxed

```
UH2O4
1.0
5.509 0.000 0.000
0.000 5.608 0.139
0.000 2.197 5.576
U H O
2 4 8
Direct
0.500 0.000 0.500 U
0.000 0.000 0.000 U
0.338 0.526 0.350 H
0.838 0.474 0.150 H
0.662 0.474 0.650 H
0.162 0.526 0.850 H
0.339 0.354 0.339 O
0.839 0.646 0.161 O
0.661 0.646 0.661 O
0.161 0.354 0.839 O
0.796 0.130 0.199 O
0.296 0.870 0.301 O
0.204 0.870 0.801 O
0.704 0.130 0.699 O
```

Results
Space-group type: P2_1/c
Crystal system: monoclinic

D) Compound: UH2O4
Source: Alexandria via LeMat-Bulk
Functional: PBE-GGA
Structure: relaxed

```
UH2O4
1.0
4.094 -0.010 0.745
0.017 4.170 -0.034
-1.276 -2.034 5.605
U H O
1 2 4
Direct
0.024 0.968 0.995 U
0.021 0.926 0.524 H
0.028 0.397 0.466 H
0.007 0.780 0.629 O
0.042 0.146 0.361 O
0.524 0.969 0.995 O
0.024 0.463 0.995 O
```

Results
Space-group type: C2
Crystal system: monoclinic

If we sort the structures by their calculated energies, the order from most to least stable is A), D), B), C).

A) Compound: UH2O4
Source: Alexandria via LeMat-Bulk
Functional: PBE-GGA
Structure: relaxed

```
UH2O4
1.0
5.618 0.000 0.000
0.000 6.061 0.000
0.000 0.000 11.118
U H O
4 8 16
Direct
0.500 0.000 0.500 U
0.000 0.500 0.500 U
0.500 0.500 0.000 U
0.000 0.000 0.000 U
0.414 0.453 0.238 H
0.914 0.047 0.762 H
0.586 0.953 0.262 H
0.086 0.547 0.738 H
0.586 0.547 0.762 H
0.086 0.953 0.238 H
0.414 0.047 0.738 H
0.914 0.453 0.262 H
0.549 0.500 0.188 O
0.049 0.000 0.812 O
0.451 0.000 0.312 O
0.951 0.500 0.688 O
0.451 0.500 0.812 O
0.951 0.000 0.188 O
0.549 0.000 0.688 O
0.049 0.500 0.312 O
0.722 0.316 0.483 O
0.222 0.184 0.517 O
0.278 0.816 0.017 O
0.778 0.684 0.983 O
0.278 0.684 0.517 O
0.778 0.816 0.483 O
0.722 0.184 0.983 O
0.222 0.316 0.017 O
```

Results
Space-group type: Pbca
Crystal system: orthorhombic

B) Compound: UH2O4
Source: Alexandria via LeMat-Bulk
Functional: PBE-GGA
Structure: relaxed

```
UH2O4
1.0
-3.079 1.362 -4.470
-0.992 -2.475 4.920
-1.383 6.205 2.843
U H O
2 4 8
Direct
0.000 0.000 0.000 U
0.500 0.500 0.500 U
0.335 0.665 0.143 H
0.665 0.335 0.857 H
0.165 0.835 0.643 H
0.835 0.165 0.357 H
0.163 0.837 0.097 O
0.837 0.163 0.903 O
0.337 0.663 0.597 O
0.663 0.337 0.403 O
0.430 0.570 0.150 O
0.570 0.430 0.850 O
0.070 0.930 0.650 O
0.930 0.070 0.350 O
```

Results
Space-group type: Cmce
Crystal system: orthorhombic

C) Compound: UH2O4
Source: Alexandria via LeMat-Bulk
Functional: PBE-GGA
Structure: relaxed

```
UH2O4
1.0
-2.405 -3.277 -1.659
2.220 -0.669 -3.728
3.170 -6.577 -1.205
U H O
1 2 4
Direct
0.961 0.961 0.070 U
0.302 0.302 0.074 H
0.508 0.508 0.546 H
0.207 0.207 0.742 O
0.708 0.708 0.418 O
0.462 0.045 0.075 O
0.045 0.462 0.075 O
```

Results
Space-group type: Cm
Crystal system: monoclinic

If we sort the structures by their calculated energies, the order from most to least stable is B), A), C).